Entry 1:
Density functional theory data (GGA-PBE) for AlTcW2 after structural relaxation.

Values from the calculation:
uncorrected energy: -39.5 eV/cell
crystal system: trigonal
ΔH_f (0 K): 12.66 kJ/mol of atoms
calculated volume: 15.60 A^3/atom

abc: 9.159 9.159 9.159
angles: 17.76 17.76 17.76
Fractional coordinates of all 4 atoms:
W (0.001, 0.001, 0.001)
Al (0.250, 0.250, 0.250)
W (0.499, 0.499, 0.499)
Tc (0.750, 0.750, 0.750)

Entry 2:
Density functional theory data (GGA-PBE) for AlTc4W after structural relaxation.

Values from the calculation:
uncorrected energy: -57.1 eV/cell
crystal system: cubic
ΔH_f (0 K): 16.36 kJ/mol of atoms
calculated volume: 15.53 A^3/atom

abc: 5.089 5.089 5.089
angles: 60.00 60.00 60.00
Fractional coordinates of all 6 atoms:
Tc (0.878, 0.374, 0.374)
Al (0.000, 0.000, 0.000)
Tc (0.374, 0.374, 0.878)
W (0.750, 0.750, 0.750)
Tc (0.374, 0.878, 0.374)
Tc (0.374, 0.374, 0.374)

Entry 3:
Density functional theory data (GGA-PBE) for AlTc2W after structural relaxation.

Values from the calculation:
uncorrected energy: -37.2 eV/cell
crystal system: cubic
ΔH_f (0 K): 4.53 kJ/mol of atoms
calculated volume: 14.90 A^3/atom

abc: 4.384 4.384 4.384
angles: 60.00 60.00 60.00
Fractional coordinates of all 4 atoms:
W (0.750, 0.750, 0.750)
Al (0.500, 0.500, 0.500)
Tc (0.250, 0.250, 0.250)
Tc (0.000, 0.000, 0.000)